A plane-wave DFT calculation with GGA-PBE was carried out for a relaxed DyErBiI2 crystal.

Its electronic total energy is -4.358 eV/atom. The calculation puts the mass density at 7.108 Mg/m³. Its magnetic moment is 0.02 μB per formula unit.

The space group is P3m1 (No. 156) and the conventional cell measures 4.3656, 4.3656 and 11.2180 Å, with angles of 90.00, 90.00 and 120.00 degrees. The distinct sites, in fractional coordinates, are Dy at (0.0000, 0.0000, 0.0000), Er at (0.6667, 0.3333, 0.6922), Bi at (0.3333, 0.6667, 0.8442), I at (0.0000, 0.0000, 0.5234) and I at (0.6667, 0.3333, 0.1704).

A plane-wave DFT calculation with GGA-PBE was carried out for a relaxed Dy2Er3LuBi2Os crystal.

Its electronic total energy is -5.736 eV/atom. The calculation puts the mass density at 10.779 Mg/m³. Its magnetic moment is 0.02 μB per formula unit.

The space group is Amm2 (No. 38) and the conventional cell measures 4.219, 14.209 and 8.274 Å, with angles of 90.00, 90.00 and 90.00 degrees. The distinct sites, in fractional coordinates, are Dy at (0.000, 0.117, 0.000), Er at (0.500, 0.000, 0.728), Er at (0.500, 0.192, 0.310), Lu at (0.000, 0.000, 0.351), Bi at (0.000, 0.165, 0.616) and Os at (0.500, 0.000, 0.127).

A plane-wave DFT calculation with GGA-PBE was carried out for a relaxed Dy3ErLu2Bi2Os crystal.

Its electronic total energy is -5.775 eV/atom. The calculation puts the mass density at 10.847 Mg/m³. Its magnetic moment is 0.04 μB per formula unit.

The space group is Amm2 (No. 38) and the conventional cell measures 4.229, 14.238 and 8.201 Å, with angles of 90.00, 90.00 and 90.00 degrees. The distinct sites, in fractional coordinates, are Dy at (0.000, 0.000, 0.000), Dy at (0.000, 0.194, 0.422), Er at (0.500, 0.000, 0.384), Lu at (0.500, 0.115, 0.730), Bi at (0.500, 0.167, 0.114) and Os at (0.000, 0.000, 0.618).

A plane-wave DFT calculation with GGA-PBE was carried out for a relaxed Dy2ErLu3Bi2Os crystal.

Its electronic total energy is -5.770 eV/atom. The calculation puts the mass density at 11.028 Mg/m³. Its magnetic moment is 0.02 μB per formula unit.

The space group is Amm2 (No. 38) and the conventional cell measures 4.230, 14.169 and 8.166 Å, with angles of 90.00, 90.00 and 90.00 degrees. The distinct sites, in fractional coordinates, are Dy at (0.000, 0.193, 0.000), Er at (0.000, 0.000, 0.578), Lu at (0.500, 0.000, 0.964), Lu at (0.500, 0.115, 0.309), Bi at (0.500, 0.166, 0.693) and Os at (0.000, 0.000, 0.196).

A plane-wave DFT calculation with GGA-PBE was carried out for a relaxed Dy4Er2Bi2Os crystal.

Its electronic total energy is -5.763 eV/atom. The calculation puts the mass density at 10.512 Mg/m³. Its magnetic moment is 0.06 μB per formula unit.

The space group is Amm2 (No. 38) and the conventional cell measures 4.242, 14.335 and 8.275 Å, with angles of 90.00, 90.00 and 90.00 degrees. The distinct sites, in fractional coordinates, are Dy at (0.000, 0.000, 0.000), Dy at (0.000, 0.194, 0.580), Dy at (0.500, 0.000, 0.620), Er at (0.500, 0.116, 0.270), Bi at (0.500, 0.167, 0.887) and Os at (0.000, 0.000, 0.385).

A plane-wave DFT calculation with GGA-PBE was carried out for a relaxed Dy3Er3BiSbOs crystal.

Its electronic total energy is -5.836 eV/atom. The calculation puts the mass density at 10.189 Mg/m³. Its magnetic moment is 0.06 μB per formula unit.

The space group is P-6 (No. 174) and the conventional cell measures 8.2227, 8.2227 and 4.2034 Å, with angles of 90.00, 90.00 and 120.00 degrees. The distinct sites, in fractional coordinates, are Dy at (0.0608, 0.7204, 0.0000), Er at (0.4337, 0.0988, 0.5000), Bi at (0.0000, 0.0000, 0.5000), Sb at (0.3333, 0.6667, 0.5000) and Os at (0.6667, 0.3333, 0.0000).